Record 1
Here is a geometry-optimized SmTmFe10 structure from Alexandria. Energies are from PBE-GGA.

Cell and atoms, written as extended XYZ:
```
12
Lattice="-0.343 0.054 3.933 0.765 -4.950 0.135 8.512 1.336 0.724" Properties=species:S:1:pos:R:3 pbc="T T T"
Fe 6.370 -0.225 2.541
Fe 1.831 -2.248 0.191
Fe 5.643 0.886 0.480
Fe 6.749 -2.679 2.608
Sm 0.000 0.000 0.000
Tm 4.639 -1.807 0.429
Fe 7.447 -1.367 0.668
Fe 2.565 -3.335 2.252
Fe 2.869 0.450 0.244
Fe 4.085 0.695 2.329
Fe 2.186 -0.882 2.185
Fe 0.211 -2.448 2.034
```

Computed properties:
ΔH_f (0 K), eV/atom: -0.0322

Record 2
Here is a geometry-optimized Rb2RePtF6 structure from Alexandria. Energies are from PBE-GGA.

Cell and atoms, written as extended XYZ:
```
10
Lattice="7.223 0.000 0.000 0.000 7.223 0.000 3.611 3.611 4.046" Properties=species:S:1:pos:R:3 pbc="T T T"
F 5.015 5.015 0.000
F 7.223 7.223 2.047
Re 3.611 3.611 0.000
Rb 7.223 3.611 2.023
F 2.208 5.015 0.000
Pt 0.000 0.000 0.000
F 2.208 2.208 0.000
F 3.611 3.611 1.999
Rb 3.611 7.223 2.023
F 5.015 2.208 0.000
```

Computed properties:
Calculated total energy, eV per atom: -4.923